# Ta2BeFe PBEsol relaxed
# Energy of formation (eV per atom): 0.3252
# Fermi-level density of states (states/eV/f.u.): 4.50
data_Ta2BeFe
_space_group_name_H-M_alt 'F -4 3 m'
_space_group_IT_number 216
_space_group_name_Hall 'F -4 2 3'
_cell_length_a 6.043
_cell_length_b 6.043
_cell_length_c 6.043
_cell_angle_alpha 90.00
_cell_angle_beta 90.00
_cell_angle_gamma 90.00
loop_
_atom_site_label
_atom_site_type_symbol
_atom_site_fract_x
_atom_site_fract_y
_atom_site_fract_z
Ta1 Ta 0.000 0.000 0.000
Ta2 Ta 0.250 0.250 0.250
Be1 Be 0.250 0.250 0.750
Fe1 Fe 0.000 0.000 0.500


# K2PAu PBEsol relaxed
# Energy of formation (eV per atom): 0.0765
# Fermi-level density of states (states/eV/f.u.): 0.90
data_K2PAu
_space_group_name_H-M_alt 'P 4/m m m'
_space_group_IT_number 123
_space_group_name_Hall '-P 4 2'
_cell_length_a 4.343
_cell_length_b 4.343
_cell_length_c 4.886
_cell_angle_alpha 90.00
_cell_angle_beta 90.00
_cell_angle_gamma 90.00
loop_
_atom_site_label
_atom_site_type_symbol
_atom_site_fract_x
_atom_site_fract_y
_atom_site_fract_z
K1 K 0.000 0.500 0.000
P1 P 0.000 0.000 0.500
Au1 Au 0.500 0.500 0.500


# RbGaHg2Se PBEsol relaxed
# Uncorrected formation energy (eV per atom): 0.224
# Fermi-level density of states (states/eV/f.u.): 3.66
data_RbGaHg2Se
_space_group_name_H-M_alt 'P 4/m m m'
_space_group_IT_number 123
_space_group_name_Hall '-P 4 2'
_cell_length_a 5.442
_cell_length_b 5.442
_cell_length_c 6.136
_cell_angle_alpha 90.00
_cell_angle_beta 90.00
_cell_angle_gamma 90.00
loop_
_atom_site_label
_atom_site_type_symbol
_atom_site_fract_x
_atom_site_fract_y
_atom_site_fract_z
Rb1 Rb 0.000 0.000 0.000
Ga1 Ga 0.500 0.500 0.000
Hg1 Hg 0.000 0.500 0.500
Se1 Se 0.000 0.000 0.500


# Li5VP3O12 PBEsol relaxed
# Uncorrected formation energy (eV per atom): -2.324
# Fermi-level density of states (states/eV/f.u.): 5.40
data_Li5VP3O12
_space_group_name_H-M_alt 'P 1'
_space_group_IT_number 1
_cell_length_a 8.326
_cell_length_b 8.339
_cell_length_c 9.128
_cell_angle_alpha 64.16
_cell_angle_beta 89.39
_cell_angle_gamma 60.09
loop_
_space_group_symop_operation_xyz
'x,y,z'
loop_
_atom_site_label
_atom_site_type_symbol
_atom_site_fract_x
_atom_site_fract_y
_atom_site_fract_z
Li1 Li 0.000 0.000 0.000
Li2 Li 0.031 0.239 0.186
Li3 Li 0.138 0.282 0.626
Li4 Li 0.173 0.960 0.577
Li5 Li 0.376 0.291 0.098
Li6 Li 0.552 0.625 0.613
Li7 Li 0.640 0.648 0.103
Li8 Li 0.793 0.727 0.408
Li9 Li 0.874 0.879 0.620
Li10 Li 0.916 0.481 0.782
V1 V 0.387 0.530 0.228
V2 V 0.580 0.139 0.805
P1 P 0.212 0.599 0.537
P2 P 0.288 0.039 0.005
P3 P 0.482 0.057 0.505
P4 P 0.673 0.352 0.991
P5 P 0.769 0.330 0.515
P6 P 0.975 0.661 0.995
O1 O 0.113 0.182 0.852
O2 O 0.182 0.579 0.083
O3 O 0.254 0.577 0.376
O4 O 0.269 0.135 0.118
O5 O 0.282 0.116 0.527
O6 O 0.290 0.717 0.562
O7 O 0.293 0.828 0.100
O8 O 0.316 0.361 0.682
O9 O 0.475 0.235 0.338
O10 O 0.485 0.972 0.957
O11 O 0.542 0.478 0.077
O12 O 0.563 0.260 0.951
O13 O 0.595 0.851 0.499
O14 O 0.603 0.031 0.655
O15 O 0.608 0.487 0.344
O16 O 0.661 0.314 0.658
O17 O 0.682 0.512 0.832
O18 O 0.848 0.906 0.942
O19 O 0.865 0.443 0.523
O20 O 0.871 0.168 0.110
O21 O 0.901 0.538 0.121
O22 O 0.909 0.112 0.535
O23 O 0.985 0.637 0.839
O24 O 0.998 0.703 0.515


# RbCrHg2 PBEsol relaxed
# Energy of formation (eV per atom): 0.5151
# Fermi-level density of states (states/eV/f.u.): 2.20
data_RbCrHg2
_space_group_name_H-M_alt 'F m -3 m'
_space_group_IT_number 225
_space_group_name_Hall '-F 4 2 3'
_cell_length_a 7.563
_cell_length_b 7.563
_cell_length_c 7.563
_cell_angle_alpha 90.00
_cell_angle_beta 90.00
_cell_angle_gamma 90.00
loop_
_atom_site_label
_atom_site_type_symbol
_atom_site_fract_x
_atom_site_fract_y
_atom_site_fract_z
Rb1 Rb 0.000 0.000 0.000
Cr1 Cr 0.000 0.000 0.500
Hg1 Hg 0.250 0.250 0.250


# K3CaP2O8 PBEsol relaxed
# Uncorrected formation energy (eV per atom): -2.364
# Fermi-level density of states (states/eV/f.u.): 0.39
data_K3CaP2O8
_space_group_name_H-M_alt 'C 1 2/m 1'
_space_group_IT_number 12
_cell_length_a 9.912
_cell_length_b 5.681
_cell_length_c 7.378
_cell_angle_alpha 90.00
_cell_angle_beta 95.14
_cell_angle_gamma 90.00
loop_
_space_group_symop_operation_xyz
'x,y,z'
'-x,-y,-z'
'-x,y,-z'
'x,-y,z'
'x+1/2,y+1/2,z'
'-x+1/2,-y+1/2,-z'
'-x+1/2,y+1/2,-z'
'x+1/2,-y+1/2,z'
loop_
_atom_site_label
_atom_site_type_symbol
_atom_site_fract_x
_atom_site_fract_y
_atom_site_fract_z
K1 K 0.000 0.000 0.000
K2 K 0.168 0.500 0.693
Ca1 Ca 0.000 0.000 0.500
P1 P 0.156 0.500 0.245
O1 O 0.095 0.278 0.327
O2 O 0.127 0.500 0.034
O3 O 0.188 0.000 0.716


# Li3MnCoO5 PBEsol relaxed
# Uncorrected formation energy (eV per atom): -1.784
data_Li3MnCoO5
_space_group_name_H-M_alt 'P 1'
_space_group_IT_number 1
_cell_length_a 4.869
_cell_length_b 5.703
_cell_length_c 6.343
_cell_angle_alpha 104.15
_cell_angle_beta 97.14
_cell_angle_gamma 106.79
loop_
_space_group_symop_operation_xyz
'x,y,z'
loop_
_atom_site_label
_atom_site_type_symbol
_atom_site_fract_x
_atom_site_fract_y
_atom_site_fract_z
Li1 Li 0.000 0.000 0.000
Li2 Li 0.001 0.516 0.001
Li3 Li 0.196 0.908 0.408
Li4 Li 0.399 0.303 0.814
Li5 Li 0.614 0.713 0.196
Li6 Li 0.810 0.098 0.622
Mn1 Mn 0.203 0.407 0.407
Mn2 Mn 0.599 0.198 0.199
Co1 Co 0.404 0.809 0.811
Co2 Co 0.803 0.607 0.609
O1 O 0.102 0.927 0.705
O2 O 0.106 0.478 0.697
O3 O 0.317 0.358 0.133
O4 O 0.327 0.874 0.104
O5 O 0.499 0.271 0.493
O6 O 0.501 0.739 0.524
O7 O 0.683 0.147 0.919
O8 O 0.690 0.659 0.883
O9 O 0.904 0.086 0.314
O10 O 0.905 0.538 0.315


# ReOs3 PBEsol relaxed
# Energy of formation (eV per atom): 0.1088
# Fermi-level density of states (states/eV/f.u.): 3.40
data_ReOs3
_space_group_name_H-M_alt 'R -3 m'
_space_group_IT_number 166
_space_group_name_Hall '-R 3 2"'
_cell_length_a 2.7104
_cell_length_b 2.7104
_cell_length_c 26.6296
_cell_angle_alpha 90.00
_cell_angle_beta 90.00
_cell_angle_gamma 120.00
loop_
_atom_site_label
_atom_site_type_symbol
_atom_site_fract_x
_atom_site_fract_y
_atom_site_fract_z
Re1 Re 0.0000 0.0000 0.0000
Os1 Os 0.0000 0.0000 0.2498
Os2 Os 0.0000 0.0000 0.5000


# Na2P2Rh PBEsol relaxed
# Energy of formation (eV per atom): -0.5854
# Fermi-level density of states (states/eV/f.u.): 1.11
data_Na2P2Rh
_space_group_name_H-M_alt 'P 4/m b m'
_space_group_IT_number 127
_space_group_name_Hall '-P 4 2ab'
_cell_length_a 5.950
_cell_length_b 5.950
_cell_length_c 4.760
_cell_angle_alpha 90.00
_cell_angle_beta 90.00
_cell_angle_gamma 90.00
loop_
_atom_site_label
_atom_site_type_symbol
_atom_site_fract_x
_atom_site_fract_y
_atom_site_fract_z
Na1 Na 0.182 0.318 0.000
P1 P 0.132 0.632 0.500
Rh1 Rh 0.000 0.000 0.500


# ZrZnCu PBEsol relaxed
# Energy of formation (eV per atom): -0.1623
# Fermi-level density of states (states/eV/f.u.): 2.26
data_ZrZnCu
_space_group_name_H-M_alt 'I 4 m m'
_space_group_IT_number 107
_space_group_name_Hall 'I 4 -2'
_cell_length_a 3.004
_cell_length_b 3.004
_cell_length_c 10.320
_cell_angle_alpha 90.00
_cell_angle_beta 90.00
_cell_angle_gamma 90.00
loop_
_atom_site_label
_atom_site_type_symbol
_atom_site_fract_x
_atom_site_fract_y
_atom_site_fract_z
Zr1 Zr 0.000 0.000 0.000
Zn1 Zn 0.000 0.000 0.307
Cu1 Cu 0.000 0.000 0.680


# TaAuSN2 PBEsol relaxed
# Uncorrected formation energy (eV per atom): 0.358
# Fermi-level density of states (states/eV/f.u.): 2.85
data_TaAuSN2
_space_group_name_H-M_alt 'P 4/m m m'
_space_group_IT_number 123
_space_group_name_Hall '-P 4 2'
_cell_length_a 3.899
_cell_length_b 3.899
_cell_length_c 5.258
_cell_angle_alpha 90.00
_cell_angle_beta 90.00
_cell_angle_gamma 90.00
loop_
_atom_site_label
_atom_site_type_symbol
_atom_site_fract_x
_atom_site_fract_y
_atom_site_fract_z
Ta1 Ta 0.000 0.000 0.000
Au1 Au 0.500 0.500 0.500
S1 S 0.000 0.000 0.500
N1 N 0.000 0.500 0.000


# Zn5Os PBEsol relaxed
# Energy of formation (eV per atom): 0.0672
# Fermi-level density of states (states/eV/f.u.): 2.38
data_Zn5Os
_space_group_name_H-M_alt 'C 1 m 1'
_space_group_IT_number 8
_cell_length_a 9.982
_cell_length_b 2.646
_cell_length_c 6.446
_cell_angle_alpha 90.00
_cell_angle_beta 104.97
_cell_angle_gamma 90.00
loop_
_space_group_symop_operation_xyz
'x,y,z'
'x,-y,z'
'x+1/2,y+1/2,z'
'x+1/2,-y+1/2,z'
loop_
_atom_site_label
_atom_site_type_symbol
_atom_site_fract_x
_atom_site_fract_y
_atom_site_fract_z
Zn1 Zn 0.000 0.000 0.000
Zn2 Zn 0.056 0.000 0.617
Zn3 Zn 0.167 0.500 0.334
Zn4 Zn 0.228 0.500 0.946
Zn5 Zn 0.389 0.000 0.280
Os1 Os 0.331 0.000 0.661


# Al2PCl PBEsol relaxed
# Uncorrected formation energy (eV per atom): -0.215
# Fermi-level density of states (states/eV/f.u.): 0.75
data_Al2PCl
_space_group_name_H-M_alt 'C 1 m 1'
_space_group_IT_number 8
_cell_length_a 10.847
_cell_length_b 3.136
_cell_length_c 5.386
_cell_angle_alpha 90.00
_cell_angle_beta 107.87
_cell_angle_gamma 90.00
loop_
_space_group_symop_operation_xyz
'x,y,z'
'x,-y,z'
'x+1/2,y+1/2,z'
'x+1/2,-y+1/2,z'
loop_
_atom_site_label
_atom_site_type_symbol
_atom_site_fract_x
_atom_site_fract_y
_atom_site_fract_z
Al1 Al 0.000 0.000 0.000
Al2 Al 0.180 0.500 0.834
P1 P 0.345 0.000 0.077
Cl1 Cl 0.140 0.000 0.455


Number 1: size of the total moment 1.473 μB per formula unit, calculated density 12.844 Mg/m³. Number 2: size of the total moment 0.000 μB per formula unit, calculated density 5.517 Mg/m³. Number 3: size of the total moment 0.000 μB per formula unit, calculated density 5.805 Mg/m³. Number 4: size of the total moment 1.000 μB per formula unit, calculated density 2.582 Mg/m³. Number 5: size of the total moment 5.024 μB per formula unit, calculated density 8.271 Mg/m³. Number 6: size of the total moment 1.087 μB per formula unit, calculated density 2.788 Mg/m³. Number 7: size of the total moment 3.049 μB per formula unit, calculated density 4.460 Mg/m³. Number 8: size of the total moment 0.000 μB per formula unit, calculated density 22.256 Mg/m³. Number 9: size of the total moment 0.000 μB per formula unit, calculated density 4.155 Mg/m³. Number 10: size of the total moment 0.000 μB per formula unit, calculated density 7.854 Mg/m³. Number 11: size of the total moment 0.042 μB per formula unit, calculated density 9.099 Mg/m³. Number 12: size of the total moment 0.001 μB per formula unit, calculated density 10.446 Mg/m³. Number 13: size of the total moment 0.000 μB per formula unit, calculated density 2.293 Mg/m³.